Compound: Nd7Er12Tl
Source: the Alexandria database
Functional: PBE-GGA
Structure: relaxed

Cell: 8.728 8.728 8.728 Å, 98.42 98.42 98.42°
Sites, in units of the cell vectors:
Tl1 0.000 0.000 0.000
Er1 0.601 0.162 0.600
Er2 0.399 0.838 0.400
Er3 0.162 0.600 0.601
Er4 0.743 0.257 0.000
Er5 0.743 0.000 0.257
Er6 0.600 0.601 0.162
Er7 0.257 0.000 0.743
Er8 0.000 0.257 0.743
Er9 0.838 0.400 0.399
Er10 0.000 0.743 0.257
Er11 0.257 0.743 0.000
Er12 0.400 0.399 0.838
Nd1 0.863 0.863 0.589
Nd2 0.137 0.411 0.137
Nd3 0.500 0.500 0.500
Nd4 0.137 0.137 0.411
Nd5 0.863 0.589 0.863
Nd6 0.411 0.137 0.137
Nd7 0.589 0.863 0.863

---

Compound: Nd12Er7Tl
Source: the Alexandria database
Functional: PBE-GGA
Structure: relaxed

Cell: 9.324 9.324 9.324 Å, 107.41 107.41 107.41°
Sites, in units of the cell vectors:
Er1 0.006 0.898 0.312
Er2 0.102 0.688 0.994
Er3 0.688 0.994 0.102
Er4 0.312 0.006 0.898
Er5 0.898 0.312 0.006
Er6 0.994 0.102 0.688
Er7 0.500 0.500 0.500
Nd1 0.620 0.782 0.322
Nd2 0.218 0.678 0.380
Nd3 0.380 0.218 0.678
Nd4 0.398 0.062 0.293
Nd5 0.602 0.938 0.707
Nd6 0.707 0.602 0.938
Nd7 0.678 0.380 0.218
Nd8 0.782 0.322 0.620
Nd9 0.322 0.620 0.782
Nd10 0.062 0.293 0.398
Nd11 0.293 0.398 0.062
Nd12 0.938 0.707 0.602
Tl1 0.000 0.000 0.000

---

Compound: NdEr5Tl6
Source: the Alexandria database
Functional: PBE-GGA
Structure: relaxed

Cell: 6.499 9.850 7.469 Å, 48.74 81.61 77.22°
Sites, in units of the cell vectors:
Tl1 0.745 0.424 0.658
Tl2 0.740 0.748 0.000
Tl3 0.260 0.252 0.000
Tl4 0.745 0.082 0.342
Tl5 0.255 0.576 0.342
Tl6 0.255 0.918 0.658
Er1 0.500 0.500 0.000
Er2 0.500 0.166 0.667
Er3 0.500 0.834 0.333
Er4 0.000 0.336 0.328
Er5 0.000 0.664 0.672
Nd1 0.000 0.000 0.000

---

Compound: Nd2ErTl
Source: the Alexandria database
Functional: PBE-GGA
Structure: relaxed

Cell: 3.686 3.686 11.266 Å, 80.58 80.58 60.00°
Sites, in units of the cell vectors:
Nd1 0.253 0.253 0.241
Nd2 0.080 0.080 0.759
Tl1 0.666 0.666 0.001
Er1 0.500 0.500 0.500

---

Compound: Nd4Er3Tl4
Source: the Alexandria database
Functional: PBE-GGA
Structure: relaxed

Cell: 3.644 9.463 10.968 Å, 115.56 99.56 90.00°
Sites, in units of the cell vectors:
Er1 0.093 0.093 0.186
Er2 0.907 0.907 0.814
Er3 0.000 0.500 0.000
Tl1 0.500 0.780 0.000
Tl2 0.723 0.223 0.446
Tl3 0.277 0.777 0.554
Tl4 0.500 0.220 0.000
Nd1 0.339 0.514 0.677
Nd2 0.661 0.486 0.323
Nd3 0.339 0.164 0.677
Nd4 0.661 0.836 0.323

---

Compound: Nd3Er7Tl2
Source: the Alexandria database
Functional: PBE-GGA
Structure: relaxed

Cell: 3.611 5.683 18.914 Å, 104.03 90.00 90.00°
Sites, in units of the cell vectors:
Tl1 0.500 0.582 0.291
Tl2 0.500 0.418 0.709
Er1 0.000 0.526 0.850
Er2 0.000 0.000 0.000
Er3 0.500 0.011 0.833
Er4 0.500 0.989 0.167
Er5 0.000 0.474 0.150
Er6 0.500 0.283 0.542
Er7 0.500 0.717 0.458
Nd1 0.000 0.859 0.634
Nd2 0.000 0.141 0.366
Nd3 0.500 0.500 0.000

---

Compound: Nd2Er8Tl
Source: the Alexandria database
Functional: PBE-GGA
Structure: relaxed

Cell: 4.935 7.841 9.334 Å, 104.72 105.33 90.00°
Sites, in units of the cell vectors:
Er1 0.044 0.722 0.089
Er2 0.956 0.278 0.911
Er3 0.319 0.091 0.638
Er4 0.866 0.826 0.733
Er5 0.134 0.174 0.267
Er6 0.681 0.909 0.362
Er7 0.589 0.444 0.177
Er8 0.411 0.556 0.823
Tl1 0.500 0.000 0.000
Nd1 0.779 0.365 0.557
Nd2 0.221 0.635 0.443

---

Compound: Nd2ErTl
Source: the Alexandria database
Functional: PBE-GGA
Structure: relaxed

Cell: 3.664 3.664 9.479 Å, 90.00 90.00 90.00°
Sites, in units of the cell vectors:
Tl1 0.500 0.500 0.000
Er1 0.500 0.500 0.500
Nd1 0.000 0.000 0.232
Nd2 0.000 0.000 0.768

---

Compound: Nd6ErTl
Source: the Alexandria database
Functional: PBE-GGA
Structure: relaxed

Cell: 5.030 5.030 10.342 Å, 90.00 90.00 90.00°
Sites, in units of the cell vectors:
Nd1 0.500 0.000 0.245
Nd2 0.500 0.500 0.000
Nd3 0.000 0.500 0.245
Nd4 0.500 0.000 0.755
Nd5 0.500 0.500 0.500
Nd6 0.000 0.500 0.755
Er1 0.000 0.000 0.500
Tl1 0.000 0.000 0.000

---

Compound: NdEr9Tl2
Source: the Alexandria database
Functional: PBE-GGA
Structure: relaxed

Cell: 4.843 4.843 14.939 Å, 90.00 90.00 90.00°
Sites, in units of the cell vectors:
Er1 0.500 0.000 0.174
Er2 0.000 0.500 0.826
Er3 0.500 0.000 0.826
Er4 0.500 0.500 0.000
Er5 0.500 0.500 0.661
Er6 0.000 0.500 0.174
Er7 0.000 0.500 0.500
Er8 0.500 0.000 0.500
Er9 0.500 0.500 0.339
Tl1 0.000 0.000 0.340
Tl2 0.000 0.000 0.660
Nd1 0.000 0.000 0.000

---

Compound: NdEr5Tl6
Source: the Alexandria database
Functional: PBE-GGA
Structure: relaxed

Cell: 5.367 9.303 9.303 Å, 120.16 106.83 106.83°
Sites, in units of the cell vectors:
Tl1 0.255 0.425 0.085
Tl2 0.745 0.575 0.915
Tl3 0.759 0.259 0.259
Tl4 0.255 0.085 0.425
Tl5 0.745 0.915 0.575
Tl6 0.241 0.741 0.741
Er1 0.000 0.333 0.667
Er2 0.500 0.164 0.836
Er3 0.500 0.836 0.164
Er4 0.000 0.667 0.333
Er5 0.500 0.500 0.500
Nd1 0.000 0.000 0.000

---

Compound: Nd2ErTl
Source: the Alexandria database
Functional: PBE-GGA
Structure: relaxed

Cell: 6.287 8.110 9.869 Å, 90.00 90.00 93.94°
Sites, in units of the cell vectors:
Er1 0.781 0.590 0.750
Er2 0.219 0.910 0.750
Er3 0.781 0.090 0.250
Er4 0.219 0.410 0.250
Tl1 0.000 0.750 0.250
Tl2 0.000 0.250 0.750
Tl3 0.500 0.750 0.250
Tl4 0.500 0.250 0.750
Nd1 0.270 0.075 0.439
Nd2 0.730 0.925 0.561
Nd3 0.730 0.425 0.439
Nd4 0.730 0.425 0.062
Nd5 0.270 0.575 0.938
Nd6 0.730 0.925 0.938
Nd7 0.270 0.075 0.062
Nd8 0.270 0.575 0.561

---

Compound: NdEr2Tl2
Source: the Alexandria database
Functional: PBE-GGA
Structure: relaxed

Cell: 5.274 6.628 10.643 Å, 66.77 60.37 66.59°
Sites, in units of the cell vectors:
Er1 0.290 0.142 0.137
Er2 0.710 0.858 0.863
Er3 0.497 0.496 0.754
Er4 0.503 0.504 0.246
Tl1 0.922 0.270 0.444
Tl2 0.078 0.730 0.556
Tl3 0.099 0.727 0.039
Tl4 0.901 0.273 0.961
Nd1 0.287 0.134 0.648
Nd2 0.713 0.866 0.352

---

Compound: NdEr7Tl4
Source: the Alexandria database
Functional: PBE-GGA
Structure: relaxed

Cell: 5.709 9.168 7.871 Å, 72.57 68.74 71.86°
Sites, in units of the cell vectors:
Tl1 0.314 0.334 0.037
Tl2 0.686 0.666 0.963
Tl3 0.441 0.744 0.373
Tl4 0.559 0.256 0.627
Er1 0.792 0.878 0.539
Er2 0.270 0.672 0.788
Er3 0.208 0.122 0.461
Er4 0.065 0.598 0.273
Er5 0.500 0.000 0.000
Er6 0.935 0.402 0.727
Er7 0.730 0.328 0.212
Nd1 0.000 0.000 0.000

---

Compound: NdEr3Tl2
Source: the Alexandria database
Functional: PBE-GGA
Structure: relaxed

Cell: 5.385 9.270 9.267 Å, 124.54 90.00 106.89°
Sites, in units of the cell vectors:
Nd1 0.868 0.736 0.908
Nd2 0.132 0.264 0.092
Er1 0.940 0.880 0.594
Er2 0.693 0.387 0.397
Er3 0.615 0.230 0.690
Er4 0.060 0.120 0.406
Er5 0.385 0.770 0.310
Er6 0.307 0.613 0.603
Tl1 0.778 0.556 0.152
Tl2 0.222 0.444 0.848
Tl3 0.518 0.036 0.864
Tl4 0.482 0.964 0.136

---

Compound: Nd3Er3Tl
Source: the Alexandria database
Functional: PBE-GGA
Structure: relaxed

Cell: 5.594 9.534 9.534 Å, 120.03 90.00 90.00°
Sites, in units of the cell vectors:
Tl1 0.250 0.667 0.333
Tl2 0.750 0.333 0.667
Nd1 0.250 0.106 0.473
Nd2 0.750 0.894 0.527
Nd3 0.750 0.474 0.367
Nd4 0.750 0.633 0.106
Nd5 0.250 0.367 0.894
Nd6 0.250 0.526 0.633
Er1 0.750 0.058 0.234
Er2 0.750 0.175 0.942
Er3 0.250 0.942 0.766
Er4 0.750 0.766 0.824
Er5 0.250 0.825 0.058
Er6 0.250 0.234 0.176

---

Compound: NdEr3Tl4
Source: the Alexandria database
Functional: PBE-GGA
Structure: relaxed

Cell: 3.498 7.244 10.118 Å, 110.96 99.95 90.00°
Sites, in units of the cell vectors:
Tl1 0.629 0.416 0.258
Tl2 0.371 0.158 0.742
Tl3 0.629 0.842 0.258
Tl4 0.371 0.584 0.742
Er1 0.781 0.781 0.561
Er2 0.219 0.219 0.439
Er3 0.000 0.500 0.000
Nd1 0.500 0.000 0.000

---

Compound: Nd6ErTl4
Source: the Alexandria database
Functional: PBE-GGA
Structure: relaxed

Cell: 9.667 9.667 9.667 Å, 57.82 140.02 140.02°
Sites, in units of the cell vectors:
Er1 0.000 0.000 0.000
Tl1 0.000 0.624 0.108
Tl2 0.484 0.376 0.376
Tl3 0.516 0.892 0.892
Tl4 0.000 0.108 0.624
Nd1 0.500 0.500 0.000
Nd2 0.500 0.000 0.500
Nd3 0.474 0.559 0.559
Nd4 0.000 0.916 0.441
Nd5 0.000 0.441 0.916
Nd6 0.526 0.084 0.084

---

Compound: Nd12Er2Tl5
Source: the Alexandria database
Functional: PBE-GGA
Structure: relaxed

Cell: 9.908 8.646 8.862 Å, 85.75 90.00 124.96°
Sites, in units of the cell vectors:
Nd1 0.820 0.235 0.637
Nd2 0.970 0.309 0.203
Nd3 0.587 0.173 0.323
Nd4 0.585 0.765 0.363
Nd5 0.095 0.189 0.857
Nd6 0.661 0.691 0.797
Nd7 0.905 0.811 0.143
Nd8 0.415 0.235 0.637
Nd9 0.339 0.309 0.203
Nd10 0.180 0.765 0.363
Nd11 0.413 0.827 0.677
Nd12 0.030 0.691 0.797
Tl1 0.000 0.000 0.500
Tl2 0.218 0.437 0.513
Tl3 0.691 0.382 0.982
Tl4 0.782 0.563 0.487
Tl5 0.309 0.618 0.018
Er1 0.333 0.000 0.000
Er2 0.667 0.000 0.000

---

Compound: Nd4ErTl2
Source: the Alexandria database
Functional: PBE-GGA
Structure: relaxed

Cell: 8.128 10.019 10.066 Å, 142.01 103.39 92.30°
Sites, in units of the cell vectors:
Tl1 0.626 0.551 0.430
Tl2 0.125 0.121 0.493
Tl3 0.695 0.908 0.230
Tl4 0.554 0.296 0.725
Nd1 0.406 0.604 0.721
Nd2 0.837 0.062 0.690
Nd3 0.907 0.529 0.782
Nd4 0.394 0.056 0.789
Nd5 0.337 0.624 0.118
Nd6 0.860 0.135 0.154
Nd7 0.349 0.074 0.227
Nd8 0.909 0.630 0.231
Er1 0.213 0.402 0.221
Er2 0.038 0.759 0.690

---

Number 1: E -89.2 eV/cell, energy relative to the elements 129 kJ/mol of formula units. Number 2: E -89.5 eV/cell, energy relative to the elements 193 kJ/mol of formula units. Number 3: E -44.7 eV/cell, energy relative to the elements -279 kJ/mol of formula units. Number 4: E -16.8 eV/cell, energy relative to the elements -36 kJ/mol of formula units. Number 5: E -44.9 eV/cell, energy relative to the elements -256 kJ/mol of formula units. Number 6: E -51.3 eV/cell, energy relative to the elements -34 kJ/mol of formula units. Number 7: E -48.7 eV/cell, energy relative to the elements -30 kJ/mol of formula units. Number 8: E -17.0 eV/cell, energy relative to the elements -55 kJ/mol of formula units. Number 9: E -36.2 eV/cell, energy relative to the elements -67 kJ/mol of formula units. Number 10: E -51.7 eV/cell, energy relative to the elements -112 kJ/mol of formula units. Number 11: E -45.6 eV/cell, energy relative to the elements -372 kJ/mol of formula units. Number 12: E -67.6 eV/cell, energy relative to the elements -42 kJ/mol of formula units. Number 13: E -40.0 eV/cell, energy relative to the elements -134 kJ/mol of formula units. Number 14: E -46.2 eV/cell, energy relative to the elements 1 kJ/mol of formula units. Number 15: E -48.4 eV/cell, energy relative to the elements -98 kJ/mol of formula units. Number 16: E -61.7 eV/cell, energy relative to the elements -50 kJ/mol of formula units. Number 17: E -29.5 eV/cell, energy relative to the elements -154 kJ/mol of formula units. Number 18: E -44.5 eV/cell, energy relative to the elements -178 kJ/mol of formula units. Number 19: E -80.0 eV/cell, energy relative to the elements -177 kJ/mol of formula units. Number 20: E -57.8 eV/cell, energy relative to the elements -53 kJ/mol of formula units.